A plane-wave DFT calculation with PBE was carried out for a geometry-optimized NaTe2H2 structure.

Cell: 3.498 4.344 8.840 Å, 90.01 94.05 107.02°
Sites, in units of the cell vectors:
Na 0.000 0.000 0.000
Te 0.338 0.667 0.738
Te 0.662 0.333 0.262
H 0.424 0.038 0.666
H 0.576 0.962 0.334

Results
**Density**: 3.63 g/cm3
**Raw total energy**: -2.928 eV/atom
**E above lowest polymorph**: 0 meV/atom
**Symmetry**: No. 2


A plane-wave DFT calculation with PBE was carried out for a geometry-optimized TlTc5 structure.

Cell: 6.230 6.230 4.019 Å, 90.00 90.00 142.68°
Sites, in units of the cell vectors:
Tl 0.000 0.000 0.000
Tc 0.174 0.826 0.500
Tc 0.319 0.681 0.000
Tc 0.500 0.500 0.500
Tc 0.681 0.319 0.000
Tc 0.826 0.174 0.500

Results
**Density**: 12.20 g/cm3
**Raw total energy**: -8.676 eV/atom
**E above lowest polymorph**: 53 meV/atom
**Symmetry**: No. 65


A plane-wave DFT calculation with PBE was carried out for a geometry-optimized SrTl2Mo structure.

Cell: 5.025 5.025 6.281 Å, 106.25 106.25 48.74°
Sites, in units of the cell vectors:
Sr 0.000 0.000 0.000
Tl 0.227 0.227 0.672
Tl 0.773 0.773 0.328
Mo 0.500 0.500 0.500

Results
**Density**: 8.67 g/cm3
**Raw total energy**: -3.858 eV/atom
**E above lowest polymorph**: 62 meV/atom
**Symmetry**: No. 12


A plane-wave DFT calculation with PBE was carried out for a geometry-optimized La8SmEr3 structure.

Cell: 8.875 8.875 8.875 Å, 136.00 101.21 94.95°
Sites, in units of the cell vectors:
La 0.091 0.249 0.840
La 0.215 0.717 0.986
La 0.269 0.283 0.498
La 0.409 0.251 0.160
La 0.591 0.751 0.842
La 0.731 0.229 0.014
La 0.785 0.771 0.502
La 0.909 0.749 0.158
Sm 0.500 0.500 0.000
Er 0.000 0.000 0.000
Er 0.229 0.729 0.500
Er 0.771 0.271 0.500

Results
**Density**: 6.52 g/cm3
**Raw total energy**: -4.487 eV/atom
**Symmetry**: No. 23


A plane-wave DFT calculation with PBE was carried out for a geometry-optimized Sc8GaNi2 structure.

Cell: 7.396 7.396 4.808 Å, 98.08 98.08 113.75°
Sites, in units of the cell vectors:
Sc 0.073 0.326 0.579
Sc 0.243 0.757 0.000
Sc 0.326 0.073 0.579
Sc 0.384 0.384 0.193
Sc 0.616 0.616 0.807
Sc 0.674 0.927 0.421
Sc 0.757 0.243 0.000
Sc 0.927 0.674 0.421
Ga 0.000 0.000 0.000
Ni 0.311 0.689 0.500
Ni 0.689 0.311 0.500

Results
**Density**: 3.90 g/cm3
**Raw total energy**: -6.155 eV/atom
**Symmetry**: No. 12


A plane-wave DFT calculation with PBE was carried out for a geometry-optimized Li6CuPt2 structure.

Cell: 4.988 4.988 4.988 Å, 95.06 95.06 95.06°
Sites, in units of the cell vectors:
Li 0.000 0.331 0.669
Li 0.000 0.669 0.331
Li 0.331 0.000 0.669
Li 0.331 0.669 0.000
Li 0.669 0.000 0.331
Li 0.669 0.331 0.000
Cu 0.500 0.500 0.500
Pt 0.174 0.174 0.174
Pt 0.826 0.826 0.826

Results
**Density**: 6.71 g/cm3
**Raw total energy**: -3.475 eV/atom
**E above lowest polymorph**: 0 meV/atom
**Symmetry**: No. 166


A plane-wave DFT calculation with PBE was carried out for a geometry-optimized Mg2Ir structure.

Cell: 5.263 5.263 8.360 Å, 90.00 90.00 120.00°
Sites, in units of the cell vectors:
Mg 0.000 0.000 0.000
Mg 0.000 0.000 0.500
Mg 0.174 0.349 0.250
Mg 0.174 0.826 0.250
Mg 0.349 0.174 0.750
Mg 0.651 0.826 0.250
Mg 0.826 0.174 0.750
Mg 0.826 0.651 0.750
Ir 0.333 0.667 0.541
Ir 0.333 0.667 0.959
Ir 0.667 0.333 0.041
Ir 0.667 0.333 0.459

Results
**Density**: 7.98 g/cm3
**Raw total energy**: -3.732 eV/atom
**Symmetry**: No. 194


A plane-wave DFT calculation with PBE was carried out for a geometry-optimized LiAcAl structure.

Cell: 4.367 4.367 9.881 Å, 90.00 90.00 120.00°
Sites, in units of the cell vectors:
Li 0.000 0.000 0.119
Li 0.000 0.000 0.881
Ac 0.333 0.667 0.671
Ac 0.667 0.333 0.329
Al 0.333 0.667 0.051
Al 0.667 0.333 0.949

Results
**Density**: 5.31 g/cm3
**Raw total energy**: -3.311 eV/atom
**E above lowest polymorph**: 105 meV/atom
**Symmetry**: No. 164